No. 1
VASP calculation (GGA-PBEsol) on a relaxed structure of IrPbW2.

a = 4.5695 Å, b = 4.5695 Å, c = 4.5695 Å
α = 60.00°, β = 60.00°, γ = 60.00°
Sites, in units of the cell vectors:
Ir 0.0000 0.0000 0.0000
Pb 0.2500 0.2500 0.2500
W 0.5000 0.5000 0.5000
W 0.7500 0.7500 0.7500

DOS(E_F), states/eV/f.u.: 3.69
DFT formation energy, meV/atom: 800.9
SG: No. 216

=====

No. 2
VASP calculation (GGA-PBEsol) on a relaxed structure of SnTe3H.

a = 5.6753 Å, b = 5.6753 Å, c = 5.6753 Å
α = 90.00°, β = 90.00°, γ = 90.00°
Sites, in units of the cell vectors:
Sn 0.0000 0.0000 0.0000
Te 0.0000 0.0000 0.5000
Te 0.0000 0.5000 0.0000
Te 0.5000 0.0000 0.0000
H 0.5000 0.5000 0.5000

DOS(E_F), states/eV/f.u.: 5.96
SG: No. 221

=====

No. 3
VASP calculation (GGA-PBEsol) on a relaxed structure of Li2MnTc.

a = 9.2215 Å, b = 9.2215 Å, c = 9.2215 Å
α = 16.49°, β = 16.49°, γ = 16.49°
Sites, in units of the cell vectors:
Li 0.0000 0.0000 0.0000
Li 0.2373 0.2373 0.2373
Mn 0.7478 0.7478 0.7478
Tc 0.4838 0.4838 0.4838

DOS(E_F), states/eV/f.u.: 2.52
DFT formation energy, meV/atom: 242.2
SG: No. 160
Energy above the lowest structure with this stoichiometry, meV/atom: 0

=====

No. 4
VASP calculation (GGA-PBEsol) on a relaxed structure of AlMoP3.

a = 4.5004 Å, b = 4.5004 Å, c = 4.5004 Å
α = 90.00°, β = 90.00°, γ = 90.00°
Sites, in units of the cell vectors:
Al 0.0000 0.0000 0.0000
Mo 0.5000 0.5000 0.5000
P 0.0000 0.0000 0.5000
P 0.0000 0.5000 0.0000
P 0.5000 0.0000 0.0000

DOS(E_F), states/eV/f.u.: 4.20
DFT formation energy, meV/atom: 1136.4
SG: No. 221

=====

No. 5
VASP calculation (GGA-PBEsol) on a relaxed structure of Sr2CrRu.

a = 8.8627 Å, b = 8.8627 Å, c = 8.8627 Å
α = 26.18°, β = 26.18°, γ = 26.18°
Sites, in units of the cell vectors:
Sr 0.0000 0.0000 0.0000
Sr 0.1816 0.1816 0.1816
Cr 0.4235 0.4235 0.4235
Ru 0.7582 0.7582 0.7582

DOS(E_F), states/eV/f.u.: 2.75
DFT formation energy, meV/atom: 336.6
SG: No. 160
Energy above the lowest structure with this stoichiometry, meV/atom: 0

=====

No. 6
VASP calculation (GGA-PBEsol) on a relaxed structure of Li4Ti2V3Fe3O16.

a = 5.5451 Å, b = 5.5451 Å, c = 9.5013 Å
α = 90.29°, β = 90.29°, γ = 61.35°
Sites, in units of the cell vectors:
Li 0.0000 0.0000 0.0000
Li 0.0013 0.0013 0.5027
Li 0.3393 0.3393 0.0980
Li 0.6693 0.6693 0.6060
Ti 0.3507 0.3507 0.4987
Ti 0.6685 0.6685 0.9904
V 0.1956 0.1956 0.7738
V 0.3696 0.8359 0.2778
V 0.8359 0.3696 0.2778
Fe 0.1740 0.6539 0.7805
Fe 0.6539 0.1740 0.7805
Fe 0.8239 0.8239 0.2827
O 0.0032 0.0032 0.1915
O 0.0030 0.0030 0.6920
O 0.0346 0.4864 0.6502
O 0.1669 0.6735 0.3915
O 0.1728 0.1728 0.3922
O 0.3330 0.8435 0.8911
O 0.3436 0.3436 0.9003
O 0.4827 0.4827 0.6581
O 0.4864 0.0346 0.6502
O 0.5224 0.5224 0.1544
O 0.5263 0.9729 0.1501
O 0.6685 0.6685 0.4064
O 0.6735 0.1669 0.3915
O 0.8350 0.8350 0.8886
O 0.8435 0.3330 0.8911
O 0.9729 0.5263 0.1501

DOS(E_F), states/eV/f.u.: 8.88
Formation energy (no corrections), meV per atom: -2196.3
SG: No. 8

=====

Number 1: E_tot -9.558 eV/atom. Number 2: E_tot -2.682 eV/atom. Number 3: E_tot -5.998 eV/atom. Number 4: E_tot -5.510 eV/atom. Number 5: E_tot -5.687 eV/atom. Number 6: E_tot -8.064 eV/atom.